(1)
A geometry-optimized Ac2NiP3Pt4 structure. Source: the Alexandria database, functional PBE.

Geometry as POSCAR:
```
Ac2NiP3Pt4
1.0
-1.631 -4.065 -0.012
3.707 -1.481 -1.803
3.746 -1.530 8.958
Pt P Ni Ac
4 3 1 2
Direct
0.000 0.500 0.380
0.500 0.500 0.000
0.500 0.000 0.620
0.000 0.000 0.000
0.500 0.000 0.869
0.000 0.000 0.500
0.000 0.500 0.131
0.500 0.500 0.500
0.000 0.500 0.745
0.500 0.000 0.255
```

Results
As for the formation energy: -0.8799 eV/atom. Its total energy is -63.190 eV for the cell shown. For the total magnetization, the calculation gives 0.0 μB/f.u.



(2)
A geometry-optimized Ac2NiP3Pt12 structure. Source: the Alexandria database, functional PBE.

Geometry as POSCAR:
```
Ac2NiP3Pt12
1.0
-1.505 -7.157 2.787
4.340 -2.372 6.065
-3.597 -0.361 6.941
Pt Ac Ni P
12 2 1 3
Direct
0.887 0.887 0.361
0.899 0.343 0.343
0.657 0.657 0.101
0.101 0.657 0.657
0.343 0.343 0.899
0.887 0.361 0.887
0.343 0.899 0.343
0.657 0.101 0.657
0.639 0.113 0.113
0.361 0.887 0.887
0.113 0.113 0.639
0.113 0.639 0.113
0.379 0.379 0.379
0.621 0.621 0.621
0.000 0.000 0.000
0.000 0.000 0.500
0.500 0.000 0.000
0.000 0.500 0.000
```

Results
As for the formation energy: -0.4495 eV/atom. Its total energy is -110.808 eV for the cell shown. For the total magnetization, the calculation gives 0.0 μB/f.u.



(3)
A geometry-optimized Ac2Ni3P4Pt structure. Source: the Alexandria database, functional PBE.

Geometry as POSCAR:
```
Ac2Ni3P4Pt
1.0
-1.580 3.201 2.281
0.792 -2.149 3.564
8.692 3.962 0.459
P Ni Ac Pt
4 3 2 1
Direct
0.000 0.000 0.000
0.000 0.500 0.366
0.500 0.500 0.000
0.500 0.000 0.634
0.000 0.500 0.106
0.500 0.000 0.894
0.000 0.000 0.500
0.000 0.500 0.757
0.500 0.000 0.243
0.500 0.500 0.500
```

Results
As for the formation energy: -0.9146 eV/atom. Its total energy is -62.387 eV for the cell shown. For the total magnetization, the calculation gives 0.0 μB/f.u.